[1]
Below is an optimized crystal structure of LaYThSc, with properties calculated at the PBE level.

extended XYZ file:
```
4
Lattice="5.621 0.000 0.000 2.810 4.868 0.000 2.810 1.623 4.589" Properties=species:S:1:pos:R:3 pbc="T T T"
La 8.431 4.868 3.442
Y 5.621 3.245 2.295
Sc 0.000 0.000 0.000
Th 2.810 1.623 1.147
```

Formation energy from the elements ... 0.102 eV/atom
Excess energy over the best structure of this formula in the dataset ... 78 meV/atom
Mass density ... 6.675 Mg/m³
Electronic total energy ... -6.183 eV per atom
Space-group type ... F-43m
Size of the total moment ... 0.0 μB per cell



[2]
Below is an optimized crystal structure of LaYThSc, with properties calculated at the PBE level.

extended XYZ file:
```
4
Lattice="-3.491 -0.819 -0.267 -0.022 -1.028 3.445 -2.327 9.041 2.682" Properties=species:S:1:pos:R:3 pbc="T T T"
Y -3.639 6.388 3.758
La -0.197 0.765 0.227
Th -1.301 5.055 1.500
Sc -2.530 2.080 2.480
```

Formation energy from the elements ... 0.025 eV/atom
Excess energy over the best structure of this formula in the dataset ... 0 meV/atom
Mass density ... 6.676 Mg/m³
Electronic total energy ... -6.261 eV per atom
Space-group type ... P4mm
Size of the total moment ... 0.0 μB per cell



[3]
Below is an optimized crystal structure of La12Sc5Ti3, with properties calculated at the PBE level.

extended XYZ file:
```
80
Lattice="-7.557 8.513 10.426 4.757 -13.140 6.558 12.218 7.876 -5.193" Properties=species:S:1:pos:R:3 pbc="T T T"
La 6.716 9.121 5.481
La 9.523 -4.105 3.239
Sc -0.117 0.892 4.900
La -4.091 5.152 8.193
Sc 8.488 -2.632 0.683
La 3.831 1.586 12.306
La -0.931 -4.721 14.480
Sc 2.331 8.195 2.616
La 10.910 -3.058 5.992
Sc 3.894 -1.894 2.464
La 2.702 -5.871 6.310
Sc 5.618 11.634 4.095
La -1.590 2.746 6.859
Sc 7.531 2.124 1.820
La 5.388 -10.179 5.772
Ti -1.518 -1.421 13.393
La -2.308 1.885 12.466
Sc 1.887 1.126 9.971
Sc 5.524 5.144 9.327
Sc -1.400 -2.313 8.492
La 5.867 3.702 3.865
La 1.064 5.431 3.352
Ti 8.370 -1.740 5.583
Sc 0.000 0.000 0.000
La 8.354 -2.182 8.440
Sc 2.378 -6.570 3.279
La 1.248 11.780 6.395
Sc 4.709 1.625 5.896
Ti -2.963 7.776 8.644
La 3.551 -0.452 7.926
Sc 2.494 -4.207 10.957
La 10.349 7.971 -2.688
La 3.812 4.458 6.869
La 8.764 7.920 3.252
La 2.900 0.616 0.996
Sc 6.109 3.938 -2.597
La 11.492 -1.843 1.043
Ti 1.048 4.989 6.209
La 5.587 1.664 -0.515
Sc -3.779 4.257 5.213
La 4.928 -2.761 9.764
La 0.644 -1.795 6.183
Ti 6.224 6.301 5.081
La 8.291 5.816 -1.375
La 6.518 2.634 10.796
La 0.807 3.760 8.814
La 7.072 0.728 7.737
La 4.030 13.429 6.019
La 10.060 3.639 0.953
La -1.492 6.308 5.799
Ti 11.775 0.808 2.161
Sc 6.924 7.457 0.835
Sc 7.205 -5.837 4.275
La -2.074 5.093 10.749
Sc 2.213 9.087 7.517
La 5.606 -1.208 4.922
La 1.127 -2.567 13.167
Sc 9.535 2.358 6.891
La 11.726 1.364 -0.675
Ti 10.936 4.671 -1.601
Ti 3.194 -3.051 6.711
Ti 6.131 -0.190 10.312
La 8.170 -8.530 5.397
La 7.832 6.813 8.174
La 1.586 -3.564 3.617
La -0.642 -0.389 10.838
La 0.654 -4.671 8.539
La 5.878 -4.085 6.422
La 3.540 7.335 5.369
La 11.008 0.504 4.932
La -0.105 7.355 8.552
Ti 12.381 -4.526 3.147
La 8.774 5.044 5.608
La 2.346 2.522 4.054
Ti -2.357 2.442 9.630
Ti 3.287 3.439 1.479
La 13.509 -1.902 3.598
Sc 3.800 -8.384 7.696
La 8.611 -0.511 2.977
La 4.490 6.011 2.027
```

Formation energy from the elements ... 0.941 eV/atom
Mass density ... 4.774 Mg/m³
Electronic total energy ... -4.783 eV per atom
Space-group type ... Ia-3d
Size of the total moment ... 16.6 μB per cell



[4]
Below is an optimized crystal structure of LaSc3Ti, with properties calculated at the PBE level.

extended XYZ file:
```
5
Lattice="-2.587 4.191 -1.601 -4.476 -2.283 1.254 0.309 2.010 4.763" Properties=species:S:1:pos:R:3 pbc="T T T"
Ti 0.000 0.000 0.000
Sc -2.238 -1.142 0.627
Sc 0.155 1.005 2.381
Sc -1.293 2.096 -0.800
La -3.377 1.959 2.208
```

Formation energy from the elements ... 0.379 eV/atom
Excess energy over the best structure of this formula in the dataset ... 0 meV/atom
Mass density ... 3.845 Mg/m³
Electronic total energy ... -5.984 eV per atom
Space-group type ... Pm-3m
Size of the total moment ... 0.0 μB per cell



[5]
Below is an optimized crystal structure of LaSc2Ti2, with properties calculated at the PBE level.

extended XYZ file:
```
10
Lattice="-4.901 -2.150 6.604 1.473 -8.221 -1.583 2.640 0.090 1.988" Properties=species:S:1:pos:R:3 pbc="T T T"
Ti 0.031 -3.438 0.115
Ti -2.830 -2.223 3.858
La -1.714 -5.185 2.511
Ti -3.459 -6.932 4.906
Sc 1.454 -5.889 1.086
Sc -2.242 -4.392 5.924
Sc -0.010 -2.097 2.857
Sc -0.778 -8.183 4.153
Ti -0.598 -8.148 1.163
La 0.000 0.000 0.000
```

Formation energy from the elements ... 0.166 eV/atom
Excess energy over the best structure of this formula in the dataset ... 0 meV/atom
Mass density ... 4.513 Mg/m³
Electronic total energy ... -6.510 eV per atom
Space-group type ... P4/mbm
Size of the total moment ... 0.0 μB per cell



[6]
Below is an optimized crystal structure of LaSc3Ti, with properties calculated at the PBE level.

extended XYZ file:
```
5
Lattice="5.128 0.000 0.000 0.000 5.128 0.000 0.000 0.000 5.128" Properties=species:S:1:pos:R:3 pbc="T T T"
Ti 2.564 2.564 2.564
Sc 0.000 0.000 2.564
Sc 2.564 0.000 0.000
Sc 0.000 2.564 0.000
La 0.000 0.000 0.000
```

Formation energy from the elements ... 1.135 eV/atom
Excess energy over the best structure of this formula in the dataset ... 755 meV/atom
Mass density ... 3.962 Mg/m³
Electronic total energy ... -5.229 eV per atom
Space-group type ... Pm-3m
Size of the total moment ... 0.0 μB per cell



[7]
Below is an optimized crystal structure of LaSc2Ti2, with properties calculated at the PBE level.

extended XYZ file:
```
10
Lattice="8.603 0.000 0.000 0.000 8.603 0.000 0.000 0.000 3.235" Properties=species:S:1:pos:R:3 pbc="T T T"
Sc 1.056 3.245 0.000
La 0.000 0.000 0.000
Sc 3.245 7.547 0.000
Ti 2.838 1.464 1.618
Sc 5.358 1.056 0.000
La 4.301 4.301 0.000
Ti 7.139 2.838 1.618
Ti 5.765 7.139 1.618
Ti 1.464 5.765 1.618
Sc 7.547 5.358 0.000
```

Formation energy from the elements ... 0.233 eV/atom
Excess energy over the best structure of this formula in the dataset ... 67 meV/atom
Mass density ... 4.501 Mg/m³
Electronic total energy ... -6.443 eV per atom
Space-group type ... P4/mbm
Size of the total moment ... 3.2 μB per cell



[8]
Below is an optimized crystal structure of La2ScTl, with properties calculated at the PBE level.

extended XYZ file:
```
8
Lattice="8.960 0.000 0.000 0.000 8.960 0.000 4.480 4.480 3.146" Properties=species:S:1:pos:R:3 pbc="T T T"
Sc 4.480 4.480 0.000
Tl 0.000 0.000 0.000
Sc 4.480 8.960 1.573
La 2.166 6.720 0.787
La 6.794 2.240 0.787
Tl 8.960 4.480 1.573
La 11.200 11.274 2.360
La 6.720 6.646 2.360
```

Formation energy from the elements ... 0.112 eV/atom
Excess energy over the best structure of this formula in the dataset ... 300 meV/atom
Mass density ... 6.931 Mg/m³
Electronic total energy ... -4.527 eV per atom
Space-group type ... I-42d
Size of the total moment ... 0.0 μB per cell



[9]
Below is an optimized crystal structure of LaSc2Tl, with properties calculated at the PBE level.

extended XYZ file:
```
4
Lattice="-1.307 -5.092 0.035 -5.012 -1.423 0.699 -2.736 -2.039 -3.999" Properties=species:S:1:pos:R:3 pbc="T T T"
Tl -4.527 -4.277 -1.632
Sc -2.264 -2.138 -0.816
La 0.000 0.000 0.000
Sc -6.791 -6.415 -2.449
```

Formation energy from the elements ... -0.025 eV/atom
Excess energy over the best structure of this formula in the dataset ... 102 meV/atom
Mass density ... 7.003 Mg/m³
Electronic total energy ... -5.015 eV per atom
Space-group type ... Fm-3m
Size of the total moment ... 2.2 μB per cell



[10]
Below is an optimized crystal structure of La2ScTl, with properties calculated at the PBE level.

extended XYZ file:
```
4
Lattice="-0.470 5.507 1.934 -3.270 0.107 -1.099 -2.605 -1.978 4.999" Properties=species:S:1:pos:R:3 pbc="T T T"
Tl -4.642 1.350 3.891
Sc -1.704 2.286 1.942
La -3.133 -0.959 1.968
La -5.681 -1.848 3.881
```

Formation energy from the elements ... -0.046 eV/atom
Excess energy over the best structure of this formula in the dataset ... 143 meV/atom
Mass density ... 7.318 Mg/m³
Electronic total energy ... -4.684 eV per atom
Space-group type ... P2/m
Size of the total moment ... 0.0 μB per cell



[11]
Below is an optimized crystal structure of LaSc2Tl4, with properties calculated at the PBE level.

extended XYZ file:
```
7
Lattice="5.911 0.000 0.000 0.000 5.911 0.000 2.956 2.956 7.578" Properties=species:S:1:pos:R:3 pbc="T T T"
La 0.000 0.000 0.000
Tl 5.911 5.911 3.238
Sc 5.911 5.911 6.215
Tl 2.956 0.000 0.000
Sc 2.956 2.956 1.363
Tl 0.000 2.956 0.000
Tl 2.956 2.956 4.340
```

Formation energy from the elements ... 0.370 eV/atom
Mass density ... 6.562 Mg/m³
Electronic total energy ... -3.495 eV per atom
Space-group type ... I4/mmm
Size of the total moment ... 0.0 μB per cell



[12]
Below is an optimized crystal structure of La2ScTl8, with properties calculated at the PBE level.

extended XYZ file:
```
11
Lattice="4.996 0.000 0.000 0.000 4.996 0.000 0.000 0.000 12.874" Properties=species:S:1:pos:R:3 pbc="T T T"
Tl 2.498 0.000 1.682
Tl 0.000 2.498 11.192
Sc 0.000 0.000 0.000
Tl 2.498 0.000 6.437
La 0.000 0.000 4.031
Tl 2.498 2.498 4.085
Tl 2.498 2.498 8.789
Tl 2.498 0.000 11.192
La 0.000 0.000 8.843
Tl 0.000 2.498 6.437
Tl 0.000 2.498 1.682
```

Formation energy from the elements ... -0.271 eV/atom
Mass density ... 10.119 Mg/m³
Electronic total energy ... -3.463 eV per atom
Space-group type ... P4/mmm
Size of the total moment ... 0.0 μB per cell



[13]
Below is an optimized crystal structure of LaSc7Tl4, with properties calculated at the PBE level.

extended XYZ file:
```
12
Lattice="5.394 0.000 0.000 2.697 9.039 0.037 2.697 0.348 6.397" Properties=species:S:1:pos:R:3 pbc="T T T"
Sc 2.697 0.000 0.000
La 0.000 0.000 0.000
Sc 8.091 8.182 3.579
Sc 5.394 3.889 1.724
Sc 8.091 3.719 4.613
Sc 5.394 5.498 4.710
Tl 8.091 6.425 5.942
Sc 2.697 1.205 2.856
Sc 2.697 5.668 1.822
Tl 5.394 7.283 2.459
Tl 2.697 2.962 0.492
Tl 5.394 2.105 3.975
```

Formation energy from the elements ... 0.012 eV/atom
Mass density ... 6.769 Mg/m³
Electronic total energy ... -4.881 eV per atom
Space-group type ... C2/m
Size of the total moment ... 0.0 μB per cell



[14]
Below is an optimized crystal structure of La8ScTl2, with properties calculated at the PBE level.

extended XYZ file:
```
11
Lattice="0.443 -5.150 -1.098 7.246 -0.503 5.281 -8.485 1.105 4.108" Properties=species:S:1:pos:R:3 pbc="T T T"
La -5.676 -4.209 4.733
Sc 0.222 -2.575 -0.549
La 4.008 -3.484 5.239
La 0.746 -3.258 2.863
Tl 1.823 -0.919 5.046
La 4.881 -0.339 3.557
La -1.313 -0.487 1.755
La -1.541 -1.290 5.428
La 0.518 -4.061 6.536
Tl -2.618 -3.629 3.245
La -4.803 -1.064 3.051
```

Formation energy from the elements ... -0.095 eV/atom
Mass density ... 6.903 Mg/m³
Electronic total energy ... -4.684 eV per atom
Space-group type ... Immm
Size of the total moment ... 0.0 μB per cell



[15]
Below is an optimized crystal structure of La12ScTl3, with properties calculated at the PBE level.

extended XYZ file:
```
16
Lattice="-4.581 -0.315 2.158 -1.469 -3.266 -3.594 6.500 -15.603 11.522" Properties=species:S:1:pos:R:3 pbc="T T T"
La 0.226 -9.592 5.043
La 1.706 -7.491 2.529
Tl 3.250 -7.802 5.761
La 1.847 -13.483 7.916
Sc 0.000 0.000 0.000
La 0.150 -6.016 5.405
La 0.083 -3.595 -0.348
Tl 4.858 -11.661 8.611
La 3.393 -13.798 11.151
Tl 1.642 -3.942 2.911
La 3.326 -11.378 5.399
La -1.473 -2.120 2.528
La 1.770 -9.903 8.275
La -3.025 -1.790 -0.718
La 4.949 -15.274 8.275
La -1.396 -5.701 2.169
```

Formation energy from the elements ... -0.166 eV/atom
Mass density ... 7.332 Mg/m³
Electronic total energy ... -4.701 eV per atom
Space-group type ... P4/mmm
Size of the total moment ... 0.0 μB per cell



[16]
Below is an optimized crystal structure of La6ScTl5, with properties calculated at the PBE level.

extended XYZ file:
```
12
Lattice="-1.403 3.736 3.899 -7.360 0.548 -3.173 1.734 -8.414 4.693" Properties=species:S:1:pos:R:3 pbc="T T T"
La -2.773 -2.007 0.925
Tl -3.680 0.274 -1.587
Tl -5.263 0.053 2.047
Sc 0.000 0.000 0.000
La -2.603 2.010 1.130
Tl -5.512 -4.067 1.913
La -6.159 2.274 -0.404
La -4.256 -2.123 4.494
Tl -1.517 -0.063 3.506
Tl -1.765 -4.183 3.372
La -0.630 -2.393 6.058
La -6.398 -1.737 -0.638
```

Formation energy from the elements ... -0.314 eV/atom
Mass density ... 8.302 Mg/m³
Electronic total energy ... -4.291 eV per atom
Space-group type ... Immm
Size of the total moment ... 2.0 μB per cell



[17]
Below is an optimized crystal structure of LaSc2Tl, with properties calculated at the PBE level.

extended XYZ file:
```
4
Lattice="3.331 0.003 0.000 -1.174 3.117 0.000 0.000 0.000 10.671" Properties=species:S:1:pos:R:3 pbc="T T T"
Sc 1.078 1.560 2.637
Tl 0.000 0.000 5.154
La 1.078 1.560 8.018
Sc 0.000 0.000 0.197
```

Formation energy from the elements ... -0.009 eV/atom
Excess energy over the best structure of this formula in the dataset ... 118 meV/atom
Mass density ... 6.491 Mg/m³
Electronic total energy ... -4.998 eV per atom
Space-group type ... Cmm2
Size of the total moment ... 0.0 μB per cell



[18]
Below is an optimized crystal structure of LaSc2Tl, with properties calculated at the PBE level.

extended XYZ file:
```
4
Lattice="-3.467 0.054 -4.743 -2.629 -5.193 -0.807 0.508 3.565 4.643" Properties=species:S:1:pos:R:3 pbc="T T T"
La -3.004 0.525 -1.438
Sc 0.000 0.000 0.000
Sc -2.584 -2.099 0.531
Tl -3.048 -2.569 -2.775
```

Formation energy from the elements ... -0.121 eV/atom
Excess energy over the best structure of this formula in the dataset ... 6 meV/atom
Mass density ... 6.773 Mg/m³
Electronic total energy ... -5.110 eV per atom
Space-group type ... I-4m2
Size of the total moment ... 1.1 μB per cell



[19]
Below is an optimized crystal structure of LaSc2Tl, with properties calculated at the PBE level.

extended XYZ file:
```
4
Lattice="-6.253 -1.794 -0.316 -4.490 -3.799 -2.797 -1.105 -4.337 2.720" Properties=species:S:1:pos:R:3 pbc="T T T"
Sc -9.052 -7.420 -0.435
Tl -5.779 -5.002 -0.064
Sc -1.236 -4.386 2.667
La -2.812 -2.425 -0.039
```

Formation energy from the elements ... -0.088 eV/atom
Excess energy over the best structure of this formula in the dataset ... 39 meV/atom
Mass density ... 6.648 Mg/m³
Electronic total energy ... -5.077 eV per atom
Space-group type ... Cm
Size of the total moment ... 0.0 μB per cell



[20]
Below is an optimized crystal structure of La2ScTl, with properties calculated at the PBE level.

extended XYZ file:
```
4
Lattice="-3.442 -2.402 -3.701 -4.980 2.307 -1.097 -0.925 2.438 -4.952" Properties=species:S:1:pos:R:3 pbc="T T T"
La -7.010 1.757 -7.312
Sc 0.000 0.000 0.000
Tl -4.674 1.171 -4.875
La -2.337 0.586 -2.437
```

Formation energy from the elements ... -0.097 eV/atom
Excess energy over the best structure of this formula in the dataset ... 91 meV/atom
Mass density ... 7.063 Mg/m³
Electronic total energy ... -4.735 eV per atom
Space-group type ... Fm-3m
Size of the total moment ... 1.2 μB per cell